(1)
# Pm6Sm12Ho

Pm6Sm12Ho after structural relaxation (PBE-GGA, Alexandria via LeMat-Bulk).

Properties
The value obtained for the formation energy is 318.3 meV/atom. As for the total DFT energy (no corrections): -83.7 eV for the cell shown. Its symmetry is R-3m, No. 166. For the energy above the most stable polymorph in this dataset, the calculation gives 3.44 eV per formula unit. For the magnetization, the calculation gives 0.000 μB per atom.

Unit cell a=9.9106 b=9.9106 c=9.9106 alpha=112.17 beta=112.17 gamma=112.17
Positions (direct):
1 Pm 0.0202 0.7691 0.7691
2 Pm 0.2309 0.2309 0.9798
3 Pm 0.2309 0.9798 0.2309
4 Pm 0.7691 0.0202 0.7691
5 Pm 0.7691 0.7691 0.0202
6 Pm 0.9798 0.2309 0.2309
7 Sm 0.0000 0.3822 0.6178
8 Sm 0.0000 0.6178 0.3822
9 Sm 0.2312 0.2312 0.5933
10 Sm 0.2312 0.5933 0.2312
11 Sm 0.3822 0.0000 0.6178
12 Sm 0.3822 0.6178 0.0000
13 Sm 0.4067 0.7688 0.7688
14 Sm 0.5933 0.2312 0.2312
15 Sm 0.6178 0.0000 0.3822
16 Sm 0.6178 0.3822 0.0000
17 Sm 0.7688 0.4067 0.7688
18 Sm 0.7688 0.7688 0.4067
19 Ho 0.5000 0.5000 0.5000

(2)
# LiLa2PrHg4

LiLa2PrHg4 after structural relaxation (PBE-GGA, Alexandria via LeMat-Bulk).

Properties
The value obtained for the formation energy is -456.4 meV/atom. As for the total DFT energy (no corrections): -21.4 eV for the cell shown. Its symmetry is R-3m, No. 166. For the magnetization, the calculation gives 0.000 μB per atom.

Unit cell a=9.4772 b=9.4772 c=9.4772 alpha=32.79 beta=32.79 gamma=32.79
Positions (direct):
1 Li 0.0000 0.0000 0.0000
2 La 0.2555 0.2555 0.2555
3 La 0.7445 0.7445 0.7445
4 Pr 0.5000 0.5000 0.5000
5 Hg 0.1230 0.1230 0.1230
6 Hg 0.3738 0.3738 0.3738
7 Hg 0.6262 0.6262 0.6262
8 Hg 0.8770 0.8770 0.8770

(3)
# AlGaAu2

AlGaAu2 after structural relaxation (PBE-GGA, Alexandria via LeMat-Bulk).

Properties
The value obtained for the formation energy is -224.7 meV/atom. As for the total DFT energy (no corrections): -14.2 eV for the cell shown. Its symmetry is Cm, No. 8. For the magnetization, the calculation gives 0.000 μB per atom.

Unit cell a=3.5952 b=3.5952 c=7.1523 alpha=104.83 beta=104.83 gamma=59.48
Positions (direct):
1 Al 0.0000 0.0000 0.0000
2 Ga 0.8303 0.8303 0.4989
3 Au 0.4128 0.4128 0.2430
4 Au 0.5867 0.5867 0.7548

(4)
# DySi3Os

DySi3Os after structural relaxation (PBE-GGA, Alexandria via LeMat-Bulk).

Properties
As for the total DFT energy (no corrections): -68.9 eV for the cell shown. Its symmetry is P2_1/m, No. 11. For the magnetization, the calculation gives 0.000 μB per atom. For the energy relative to the elements, uncorrected, the calculation gives -467 meV per atom.

Unit cell a=5.5842 b=5.5744 c=5.7979 alpha=90.00 beta=101.84 gamma=90.00
Positions (direct):
1 Dy 0.0994 0.2500 0.3123
2 Dy 0.9006 0.7500 0.6877
3 Si 0.0111 0.2500 0.8045
4 Si 0.3977 0.0237 0.7941
5 Si 0.3977 0.4763 0.7941
6 Si 0.6023 0.5237 0.2059
7 Si 0.6023 0.9763 0.2059
8 Si 0.9889 0.7500 0.1955
9 Os 0.3732 0.7500 0.4695
10 Os 0.6268 0.2500 0.5305

(5)
# BaNaSnN2

BaNaSnN2 after structural relaxation (PBE-GGA, Alexandria via LeMat-Bulk).

Properties
As for the total DFT energy (no corrections): -17.4 eV for the cell shown. Its symmetry is P4/mmm, No. 123. For the magnetization, the calculation gives 0.000 μB per atom. For the energy relative to the elements, uncorrected, the calculation gives 1307 meV per atom.

Unit cell a=4.4677 b=4.4677 c=6.0810 alpha=90.00 beta=90.00 gamma=90.00
Positions (direct):
1 Ba 0.0000 0.0000 0.0000
2 Na 0.5000 0.5000 0.0000
3 Sn 0.0000 0.0000 0.5000
4 N 0.0000 0.5000 0.5000
5 N 0.5000 0.0000 0.5000

(6)
# Dy4Y7Sc

Dy4Y7Sc after structural relaxation (PBE-GGA, Alexandria via LeMat-Bulk).

Properties
The value obtained for the formation energy is 231.6 meV/atom. As for the total DFT energy (no corrections): -67.2 eV for the cell shown. Its symmetry is C2/m, No. 12. For the energy above the most stable polymorph in this dataset, the calculation gives 1.08 eV per formula unit. For the magnetization, the calculation gives 0.062 μB per atom.

Unit cell a=8.5831 b=8.5831 c=9.2769 alpha=115.70 beta=115.70 gamma=39.54
Positions (direct):
1 Dy 0.0769 0.0769 0.1994
2 Dy 0.1757 0.1757 0.8921
3 Dy 0.8243 0.8243 0.1079
4 Dy 0.9231 0.9231 0.8006
5 Y 0.0000 0.0000 0.5000
6 Y 0.2880 0.2880 0.6279
7 Y 0.2976 0.2976 0.2804
8 Y 0.4249 0.4249 0.0738
9 Y 0.5751 0.5751 0.9262
10 Y 0.7024 0.7024 0.7196
11 Y 0.7120 0.7120 0.3721
12 Sc 0.5000 0.5000 0.5000

(7)
# BeTeOs2

BeTeOs2 after structural relaxation (PBE-GGA, Alexandria via LeMat-Bulk).

Properties
As for the total DFT energy (no corrections): -25.6 eV for the cell shown. Its symmetry is Cmm2, No. 35. For the energy above the most stable polymorph in this dataset, the calculation gives 1.89 eV per formula unit. For the magnetization, the calculation gives 0.022 μB per atom. For the energy relative to the elements, uncorrected, the calculation gives 932 meV per atom.

Unit cell a=2.8832 b=2.8832 c=8.8434 alpha=90.00 beta=90.00 gamma=117.97
Positions (direct):
1 Be 0.0000 0.0000 0.0000
2 Te 0.5000 0.5000 0.2881
3 Os 0.0000 0.0000 0.5589
4 Os 0.5000 0.5000 0.8054

(8)
# LiNdEu

LiNdEu after structural relaxation (PBE-GGA, Alexandria via LeMat-Bulk).

Properties
The value obtained for the formation energy is 170.2 meV/atom. As for the total DFT energy (no corrections): -16.4 eV for the cell shown. Its symmetry is P3m1, No. 156. For the energy above the most stable polymorph in this dataset, the calculation gives 0.19 eV per formula unit. For the magnetization, the calculation gives 2.456 μB per atom.

Unit cell a=5.6423 b=5.6423 c=3.5357 alpha=90.00 beta=90.00 gamma=120.00
Positions (direct):
1 Li 0.0000 0.0000 0.0000
2 Nd 0.6667 0.3333 0.6425
3 Eu 0.3333 0.6667 0.2307

(9)
# Dy3Ho5Tm

Dy3Ho5Tm after structural relaxation (PBE-GGA, Alexandria via LeMat-Bulk).

Properties
The value obtained for the formation energy is 318.9 meV/atom. As for the total DFT energy (no corrections): -76.6 eV for the cell shown. Its symmetry is C2/c, No. 15. For the energy above the most stable polymorph in this dataset, the calculation gives 0.00 eV per formula unit. For the magnetization, the calculation gives 0.000 μB per atom.

Unit cell a=9.0006 b=9.0006 c=11.2384 alpha=90.65 beta=90.65 gamma=39.98
Positions (direct):
1 Dy 0.0000 0.0000 0.0000
2 Dy 0.0000 0.0000 0.5000
3 Dy 0.1134 0.5643 0.9206
4 Dy 0.4357 0.8866 0.5794
5 Dy 0.5643 0.1134 0.4206
6 Dy 0.8866 0.4357 0.0794
7 Ho 0.0258 0.6204 0.2516
8 Ho 0.1100 0.5665 0.5821
9 Ho 0.3796 0.9742 0.2484
10 Ho 0.4125 0.5875 0.2500
11 Ho 0.4335 0.8900 0.9179
12 Ho 0.5665 0.1100 0.0821
13 Ho 0.5875 0.4125 0.7500
14 Ho 0.6204 0.0258 0.7516
15 Ho 0.8900 0.4335 0.4179
16 Ho 0.9742 0.3796 0.7484
17 Tm 0.1029 0.8971 0.7500
18 Tm 0.8971 0.1029 0.2500

(10)
# CeYZn

CeYZn after structural relaxation (PBE-GGA, Alexandria via LeMat-Bulk).

Properties
The value obtained for the formation energy is -128.2 meV/atom. As for the total DFT energy (no corrections): -14.1 eV for the cell shown. Its symmetry is I4mm, No. 107. For the energy above the most stable polymorph in this dataset, the calculation gives 0.12 eV per formula unit. For the magnetization, the calculation gives 0.417 μB per atom.

Unit cell a=6.7346 b=6.7346 c=6.7346 alpha=149.35 beta=149.35 gamma=43.89
Positions (direct):
1 Ce 0.0000 0.0000 0.0000
2 Y 0.7076 0.7076 0.0000
3 Zn 0.3474 0.3474 0.0000

(11)
# Mg2AlW

Mg2AlW after structural relaxation (PBE-GGA, Alexandria via LeMat-Bulk).

Properties
The value obtained for the formation energy is 411.1 meV/atom. As for the total DFT energy (no corrections): -18.2 eV for the cell shown. Its symmetry is F-43m, No. 216. For the magnetization, the calculation gives 0.233 μB per atom.

Unit cell a=4.6124 b=4.6124 c=4.6124 alpha=60.00 beta=60.00 gamma=60.00
Positions (direct):
1 Mg 0.0000 0.0000 0.0000
2 Mg 0.2500 0.2500 0.2500
3 Al 0.5000 0.5000 0.5000
4 W 0.7500 0.7500 0.7500

(12)
# LiCePaS4

LiCePaS4 after structural relaxation (PBE-GGA, Alexandria via LeMat-Bulk).

Properties
As for the total DFT energy (no corrections): -90.8 eV for the cell shown. Its symmetry is Imma, No. 74. For the magnetization, the calculation gives 0.287 μB per atom. For the energy relative to the elements, uncorrected, the calculation gives -1649 meV per atom.

Unit cell a=7.5252 b=7.5252 c=7.5252 alpha=110.26 beta=106.73 gamma=111.47
Positions (direct):
1 Li 0.0000 0.0000 0.0000
2 Li 0.5000 0.0000 0.5000
3 Ce 0.3998 0.6498 0.7500
4 Ce 0.6002 0.3502 0.2500
5 Pa 0.0000 0.0000 0.5000
6 Pa 0.0000 0.5000 0.0000
7 S 0.1340 0.6995 0.4346
8 S 0.2351 0.3005 0.9346
9 S 0.3051 0.2426 0.4375
10 S 0.3051 0.8676 0.0625
11 S 0.6949 0.1324 0.9375
12 S 0.6949 0.7574 0.5625
13 S 0.7649 0.6995 0.0654
14 S 0.8660 0.3005 0.5654